Record 1
Below is a relaxed Na2YHfS4 crystal, with properties calculated at the PBE-GGA level.

The structure in POSCAR format:
```
Na2YHfS4
1.0
-3.596 1.228 -0.051
-1.785 -5.375 -3.460
-0.620 -1.529 6.887
Hf Na S Y
1 2 4 1
direct
0.500 0.500 0.000
0.000 0.500 0.500
0.500 0.000 0.500
0.500 0.258 0.228
0.500 0.742 0.772
0.000 0.273 0.779
0.000 0.727 0.221
0.000 0.000 0.000
```

Computed properties:
**ΔE_f (raw)**: -1.63 eV per atom
**Spin magnetization**: 0.00 μB per cell
**Space group**: P2/m (10)
**Fermi-level density of states**: 2.78 states/eV per cell

=====

Record 2
Below is a relaxed Na2Y2HfS6 crystal, with properties calculated at the PBE-GGA level.

The structure in POSCAR format:
```
Na2Y2HfS6
1.0
6.714 0.012 0.074
-3.308 5.842 0.074
-1.204 -2.069 6.714
S Hf Na Y
6 1 2 2
direct
0.762 0.762 0.717
0.238 0.238 0.283
0.612 0.929 0.282
0.071 0.388 0.718
0.388 0.071 0.718
0.929 0.612 0.282
0.000 0.000 0.500
0.169 0.831 0.000
0.831 0.169 0.000
0.334 0.666 0.500
0.666 0.334 0.500
```

Computed properties:
**ΔE_f (raw)**: -1.77 eV per atom
**Spin magnetization**: 0.00 μB per cell
**Space group**: C2/m (12)
**Fermi-level density of states**: 0.00 states/eV per cell

=====

Number 1: final energy -48.6 eV per cell. Number 2: final energy -69.8 eV per cell.